# 1
ZrPaMo4: relaxed, PBE-GGA.

a b c (Å): 7.7178 7.7178 7.7178
angles (deg): 90.00 90.00 90.00
Last column: nearest neighbours and their distance in Å.
Space group F-43m (No. 216)
Unique sites:
Zr 0.0000 0.0000 0.0000 (multiplicity 4)  12 Mo 3.20, 4 Pa 3.34
Pa 0.2500 0.2500 0.2500 (multiplicity 4)  12 Mo 3.20, 4 Zr 3.34
Mo 0.1248 0.1248 0.6248 (multiplicity 16)  6 Mo 2.72-2.73

Properties
Its magnetization is 0.00 Bohr magnetons per cell. As for the formation energy: 55 meV per atom. For the calculated total energy, the calculation gives -244.15 eV for the cell shown.

# 2
Ce4Pt: relaxed, PBE-GGA.

a b c (Å): 12.3308 12.3603 6.9215
angles (deg): 90.00 90.00 90.00
Last column: nearest neighbours and their distance in Å.
Space group Fdd2 (No. 43)
Unique sites:
Ce 0.0885 0.1060 0.0000 (multiplicity 16)  2 Ce 2.83-2.85, 1 Pt 2.84
Ce 0.1071 0.4127 0.7180 (multiplicity 16)  2 Ce 2.83-2.85, 1 Pt 2.85
Pt 0.0000 0.0000 0.6088 (multiplicity 8)  4 Ce 2.84-2.85

Properties
Its magnetization is 0.01 Bohr magnetons per cell. As for the formation energy: -322 meV per atom. For the calculated total energy, the calculation gives -251.09 eV for the cell shown. For the energy above the most stable polymorph in this dataset, the calculation gives 0.000 eV per atom.

# 3
La6InIr2: relaxed, PBE-GGA.

a b c (Å): 11.3977 5.0012 9.4625
angles (deg): 90.00 95.43 90.00
Last column: nearest neighbours and their distance in Å.
Space group C2/m (No. 12)
Unique sites:
La 0.0899 0.0000 0.3588 (multiplicity 4)  3 Ir 2.92-3.05
La 0.1110 0.5000 0.6732 (multiplicity 4)  3 Ir 3.08-3.22, 3 La 3.38-3.45
La 0.1987 0.5000 0.1026 (multiplicity 4)  1 Ir 2.69
In 0.0000 0.0000 0.0000 (multiplicity 2)  8 La 3.45-3.66
Ir 0.2433 0.5000 0.3866 (multiplicity 4)  2 La 2.69-2.92

Properties
Its magnetization is 0.00 Bohr magnetons per cell. As for the formation energy: -483 meV per atom. For the calculated total energy, the calculation gives -108.74 eV for the cell shown. For the energy above the most stable polymorph in this dataset, the calculation gives 0.000 eV per atom.

# 4
RbPuZn2F8: relaxed, PBE-GGA.

a b c (Å): 5.6177 5.6177 23.1564
angles (deg): 90.00 90.00 120.00
Last column: nearest neighbours and their distance in Å.
Space group R-3 (No. 148, hexagonal axes)
Unique sites:
Rb 0.0000 0.0000 0.0000 (multiplicity 3)  12 F 3.21-3.24
Pu 0.0000 0.0000 0.5000 (multiplicity 3)  6 F 2.31
Zn 0.0000 0.0000 0.2573 (multiplicity 6)  4 F 1.86-1.96
F 0.0000 0.0000 0.3376 (multiplicity 6)  1 Zn 1.86
F 0.0011 0.3181 0.2226 (multiplicity 18)  1 Zn 1.96

Properties
Its magnetization is 15.00 Bohr magnetons per cell. The calculation puts the energy relative to the elements, uncorrected at -32.87 eV/f.u. For the calculated total energy, the calculation gives -197.07 eV for the cell shown.

# 5
NaTcO3: relaxed, PBE-GGA.

a b c (Å): 5.7475 5.4578 6.4774
angles (deg): 90.00 116.22 90.00
Last column: nearest neighbours and their distance in Å.
Space group P2_1/m (No. 11)
Unique sites:
Na 0.0889 0.2500 0.1784 (multiplicity 2)  5 O 2.29-2.40
Tc 0.4348 0.2500 0.8686 (multiplicity 2)  1 O 1.72
O 0.2883 0.2500 0.5732 (multiplicity 2)  1 Tc 1.72
O 0.2909 0.0000 0.9996 (multiplicity 4)  2 Tc 1.97

Properties
Its magnetization is 0.00 Bohr magnetons per cell. The calculation puts the energy relative to the elements, uncorrected at -7.83 eV/f.u. For the calculated total energy, the calculation gives -68.78 eV for the cell shown.

# 6
CrSiH: relaxed, PBE-GGA.

a b c (Å): 2.5195 3.0352 4.1031
angles (deg): 102.14 90.18 114.35
Last column: nearest neighbours and their distance in Å.
Space group P1 (No. 1)
Unique sites:
Cr 0.0000 0.0000 0.0000 (multiplicity 1)  3 H 1.78-1.79
Si 0.6209 0.2430 0.5519 (multiplicity 1)  1 H 2.00
H 0.3279 0.6589 0.1581 (multiplicity 1)  3 Cr 1.78-1.79

Properties
Its magnetization is 0.00 Bohr magnetons per cell. For the calculated total energy, the calculation gives -18.27 eV for the cell shown. For the energy above the most stable polymorph in this dataset, the calculation gives 0.109 eV per atom.

# 7
PW2Br2: relaxed, PBE-GGA.

a b c (Å): 7.9926 7.9926 2.9051
angles (deg): 90.00 90.00 90.00
Last column: nearest neighbours and their distance in Å.
Space group P4/mbm (No. 127)
Unique sites:
P 0.0000 0.0000 0.0000 (multiplicity 2)  2 P 2.91, 4 Br 3.15, 8 W 3.24
W 0.1925 0.3075 0.5000 (multiplicity 4)  2 Br 2.50
Br 0.1271 0.6271 0.0000 (multiplicity 4)  2 W 2.50

Properties
Its magnetization is 0.00 Bohr magnetons per cell. The calculation puts the energy relative to the elements, uncorrected at 8.28 eV/f.u. For the calculated total energy, the calculation gives -52.77 eV for the cell shown. For the energy above the most stable polymorph in this dataset, the calculation gives 0.193 eV per atom.

# 8
Dy2PdI: relaxed, PBE-GGA.

a b c (Å): 4.1446 4.1446 23.8123
angles (deg): 90.00 90.00 120.00
Last column: nearest neighbours and their distance in Å.
Space group R3m (No. 160, hexagonal axes)
Unique sites:
Dy 0.0000 0.0000 0.0000 (multiplicity 3)  3 Pd 2.80
Dy 0.0000 0.0000 0.2112 (multiplicity 3)  3 Pd 2.80
Pd 0.0000 0.0000 0.6055 (multiplicity 3)  6 Dy 2.80
I 0.0000 0.0000 0.4368 (multiplicity 3)  6 Dy 3.44-3.51

Properties
Its magnetization is 0.00 Bohr magnetons per cell. The calculation puts the energy relative to the elements, uncorrected at -3.40 eV/f.u. For the calculated total energy, the calculation gives -58.03 eV for the cell shown. For the energy above the most stable polymorph in this dataset, the calculation gives 0.013 eV per atom.

Copy entry 5 word for word.
NaTcO3: relaxed, PBE-GGA.

a b c (Å): 5.7475 5.4578 6.4774
angles (deg): 90.00 116.22 90.00
Last column: nearest neighbours and their distance in Å.
Space group P2_1/m (No. 11)
Unique sites:
Na 0.0889 0.2500 0.1784 (multiplicity 2)  5 O 2.29-2.40
Tc 0.4348 0.2500 0.8686 (multiplicity 2)  1 O 1.72
O 0.2883 0.2500 0.5732 (multiplicity 2)  1 Tc 1.72
O 0.2909 0.0000 0.9996 (multiplicity 4)  2 Tc 1.97

Properties
Its magnetization is 0.00 Bohr magnetons per cell. The calculation puts the energy relative to the elements, uncorrected at -7.83 eV/f.u. For the calculated total energy, the calculation gives -68.78 eV for the cell shown.

- calculated total energy of number 8 (Dy2PdI)?
  -58.03 eV for the cell shown

- Which of these has the highest calculated total energy?
  CrSiH